Material: Pu2Tl3BiO9
Method: DFT, GGA-PBE
State: relaxed

abc: 6.1639 6.1639 7.5770
angles: 90.00 90.00 120.00
Closest atoms and distances in Å follow each position.
Space group P-3m1 (No. 164)
Inequivalent atoms, fractional coordinates:
Pu  0.3333  0.6667  0.1594  6 O 2.04-2.15
Tl  0.0000  0.0000  0.0000  12 O 3.05-3.08
Tl  0.3333  0.6667  0.6592  12 O 3.09-3.14
Bi  0.0000  0.0000  0.5000  6 O 2.36
O  0.0000  0.5000  0.0000  2 Pu 2.15
O  0.1779  0.3559  0.3153  1 Pu 2.04

## Properties
**D(E_F)**: 0.63 states/eV per atom
**Energy relative to the elements, uncorrected**: -1.76 eV/atom